# AlGe2PH24C8

Crystalline AlGe2PH24C8 at its relaxed geometry (PBEsol, Alexandria).

Lattice parameters (Å, degrees): 9.2179 9.7671 9.8388 77.24 80.03 63.51
Element x y z (fractional)
1 C 0.9024 0.3068 0.5115
2 C 0.4493 0.1856 0.0805
3 C 0.1593 0.2036 0.8302
4 C 0.6727 0.7521 0.6083
5 C 0.7594 0.3720 0.9264
6 C 0.2406 0.6280 0.0736
7 C 0.0976 0.6932 0.4885
8 C 0.8046 0.1657 0.2984
9 C 0.7237 0.0117 0.7168
10 C 0.1954 0.8343 0.7016
11 C 0.6309 0.5299 0.3056
12 C 0.3691 0.4701 0.6944
13 C 0.5507 0.8144 0.9195
14 C 0.8407 0.7964 0.1698
15 C 0.2763 0.9883 0.2832
16 C 0.3273 0.2479 0.3917
17 H 0.1855 0.9876 0.3718
18 H 0.5338 0.5057 0.3737
19 H 0.4032 0.4342 0.8027
20 H 0.5415 0.7029 0.9451
21 H 0.4337 0.9064 0.8846
22 H 0.7525 0.0439 0.8058
23 H 0.2774 0.2086 0.8238
24 H 0.9883 0.8031 0.4703
25 H 0.4486 0.1619 0.4227
26 H 0.4662 0.4943 0.6263
27 H 0.2470 0.8097 0.8017
28 H 0.7200 0.1423 0.3840
29 H 0.9210 0.0617 0.2985
30 H 0.8670 0.7880 0.2775
31 H 0.4241 0.1593 0.9864
32 H 0.7629 0.7502 0.5187
33 H 0.9282 0.4019 0.5265
34 H 0.7670 0.2530 0.9539
35 H 0.3972 0.9007 0.3140
36 H 0.3283 0.3630 0.3628
37 H 0.2800 0.8577 0.6160
38 H 0.5514 0.8381 0.5773
39 H 0.6419 0.6253 0.3385
40 H 0.5663 0.0936 0.1154
41 H 0.8267 0.9124 0.1137
42 H 0.1963 0.7005 0.4102
43 H 0.3340 0.5586 0.9991
44 H 0.4585 0.2971 0.0549
45 H 0.0117 0.1969 0.5297
46 H 0.8145 0.0124 0.6282
47 H 0.7226 0.7914 0.1762
48 H 0.2870 0.5808 0.1783
49 H 0.5968 0.5658 0.1973
50 H 0.6717 0.6370 0.6372
51 H 0.1330 0.2120 0.7225
52 H 0.1733 0.0876 0.8863
53 H 0.8037 0.2995 0.5898
54 H 0.6028 0.0993 0.6860
55 H 0.5759 0.8407 0.0136
56 H 0.2475 0.9561 0.1942
57 H 0.0790 0.9383 0.7015
58 H 0.3581 0.3747 0.6615
59 H 0.2330 0.7470 0.0461
60 H 0.7530 0.1903 0.1983
61 H 0.6660 0.4414 0.0009
62 H 0.0718 0.5981 0.4735
63 H 0.7130 0.4192 0.8217
64 H 0.2371 0.2498 0.4813
65 Ge 0.1654 0.6567 0.6755
66 Ge 0.2805 0.1915 0.2311
67 Ge 0.7195 0.8085 0.7689
68 Ge 0.8346 0.3433 0.3245
69 Al 0.0225 0.6341 0.0769
70 Al 0.9775 0.3659 0.9231
71 P 0.0311 0.3754 0.1550
72 P 0.9689 0.6246 0.8450

Uncorrected energy (eV per atom): -5.033
SG: No. 2
Calculated volume (Å³/atom): 10.700